Compound: Ba2AgMo
Source: Alexandria
Functional: GGA-PBE
Structure: optimized geometry

The space group is F-43m (No. 216) and the conventional cell measures 7.889, 7.889 and 7.889 Å, with angles of 90.00, 90.00 and 90.00 degrees. The asymmetric unit holds Ba at (0.000, 0.000, 0.000), Ba at (0.250, 0.250, 0.250), Ag at (0.250, 0.250, 0.750) and Mo at (0.000, 0.000, 0.500).

For the energy of formation from the pure elements, the calculation gives 0.83 eV per atom. The calculation puts the volume at 30.7 A^3/atom. The crystal system is cubic. The calculation puts the density of states at the Fermi level at 11.910 states/eV per cell. As for the calculated total energy: -3.5542 eV/atom.

=====

Compound: Ba8In2Pt
Source: Alexandria
Functional: GGA-PBE
Structure: optimized geometry

The space group is C2/m (No. 12) and the conventional cell measures 25.315, 4.707 and 9.567 Å, with angles of 90.00, 92.44 and 90.00 degrees. The asymmetric unit holds Ba at (0.010, 0.000, 0.219), Ba at (0.103, 0.500, 0.521), Ba at (0.125, 0.500, 0.005), Ba at (0.237, 0.000, 0.705), In at (0.159, 0.000, 0.286) and Pt at (0.000, 0.500, 0.000).

For the energy of formation from the pure elements, the calculation gives -0.31 eV per atom. The calculation puts the volume at 51.8 A^3/atom. The crystal system is monoclinic. The calculation puts the density of states at the Fermi level at 21.426 states/eV per cell. As for the calculated total energy: -2.7516 eV/atom.

=====

Compound: Na4SF2
Source: Alexandria
Functional: GGA-PBE
Structure: optimized geometry

The space group is Cmcm (No. 63) and the conventional cell measures 3.770, 11.083 and 11.562 Å, with angles of 90.00, 90.00 and 90.00 degrees. The asymmetric unit holds Na at (0.000, 0.000, 0.000), Na at (0.000, 0.278, 0.112), Na at (0.000, 0.438, 0.750), S at (0.000, 0.110, 0.750) and F at (0.000, 0.366, 0.562).

The calculation puts the volume at 17.3 A^3/atom. For the energy relative to the elements, uncorrected, the calculation gives -1917 meV/atom. The crystal system is orthorhombic. As for the calculated total energy: -3.7952 eV/atom.

=====

Compound: Ce3SnSb2
Source: Alexandria
Functional: GGA-PBE
Structure: optimized geometry

The space group is P2_1/c (No. 14) and the conventional cell measures 6.358, 13.491 and 8.991 Å, with angles of 90.00, 90.00 and 90.00 degrees. The asymmetric unit holds Ce at (0.249, 0.250, 0.375), Ce at (0.250, 0.583, 0.375), Ce at (0.250, 0.584, 0.876), Sn at (0.250, 0.084, 0.126), Sb at (0.250, 0.083, 0.625) and Sb at (0.251, 0.750, 0.125).

The calculation puts the volume at 32.1 A^3/atom. For the energy relative to the elements, uncorrected, the calculation gives -853 meV/atom. The crystal system is monoclinic. The calculation puts the density of states at the Fermi level at 63.578 states/eV per cell. As for the calculated total energy: -5.8609 eV/atom.